First-principles (PBEsol) data for crystalline HfGeMoS2 at its relaxed geometry, as listed in the Alexandria database.

E_form (uncorrected): 0.582 eV/atom
Electronic total energy: -6.61 eV per atom

Cell and atoms, written as CIF:
```
data_HfGeMoS2
_chemical_formula_sum 'Hf1 Ge1 Mo1 S2'
_symmetry_space_group_name_H-M 'P 4/m m m'
_symmetry_Int_Tables_number 123
_symmetry_space_group_name_Hall '-P 4 2'
_cell_length_a 4.769
_cell_length_b 4.769
_cell_length_c 5.176
_cell_angle_alpha 90.00
_cell_angle_beta 90.00
_cell_angle_gamma 90.00
loop_
_atom_site_label
_atom_site_type_symbol
_atom_site_fract_x
_atom_site_fract_y
_atom_site_fract_z
Hf1 Hf 0.000 0.000 0.000
Ge1 Ge 0.000 0.000 0.500
Mo1 Mo 0.500 0.500 0.500
S1 S 0.000 0.500 0.000
```


First-principles (PBEsol) data for crystalline HfGeN3 at its relaxed geometry, as listed in the Alexandria database.

E_form (uncorrected): 0.567 eV/atom
Electronic total energy: -7.64 eV per atom

Cell and atoms, written as CIF:
```
data_HfGeN3
_chemical_formula_sum 'Hf1 Ge1 N3'
_symmetry_space_group_name_H-M 'P m -3 m'
_symmetry_Int_Tables_number 221
_symmetry_space_group_name_Hall '-P 4 2 3'
_cell_length_a 4.157
_cell_length_b 4.157
_cell_length_c 4.157
_cell_angle_alpha 90.00
_cell_angle_beta 90.00
_cell_angle_gamma 90.00
loop_
_atom_site_label
_atom_site_type_symbol
_atom_site_fract_x
_atom_site_fract_y
_atom_site_fract_z
Hf1 Hf 0.000 0.000 0.000
Ge1 Ge 0.500 0.500 0.500
N1 N 0.000 0.000 0.500
```


First-principles (PBEsol) data for crystalline HfGeNO2 at its relaxed geometry, as listed in the Alexandria database.

E_form (uncorrected): -1.217 eV/atom
Electronic total energy: -8.11 eV per atom

Cell and atoms, written as CIF:
```
data_HfGeNO2
_chemical_formula_sum 'Hf1 Ge1 N1 O2'
_symmetry_space_group_name_H-M 'P 4/m m m'
_symmetry_Int_Tables_number 123
_symmetry_space_group_name_Hall '-P 4 2'
_cell_length_a 4.019
_cell_length_b 4.019
_cell_length_c 4.241
_cell_angle_alpha 90.00
_cell_angle_beta 90.00
_cell_angle_gamma 90.00
loop_
_atom_site_label
_atom_site_type_symbol
_atom_site_fract_x
_atom_site_fract_y
_atom_site_fract_z
Hf1 Hf 0.000 0.000 0.000
Ge1 Ge 0.500 0.500 0.500
N1 N 0.000 0.000 0.500
O1 O 0.000 0.500 0.000
```


First-principles (PBEsol) data for crystalline Na4Hf2Ge3O12 at its relaxed geometry, as listed in the Alexandria database.

E_form (uncorrected): -2.301 eV/atom
Electronic total energy: -7.27 eV per atom

Cell and atoms, written as CIF:
```
data_Na4Hf2Ge3O12
_chemical_formula_sum 'Na24 Hf12 Ge18 O72'
_symmetry_space_group_name_H-M 'R -3 c'
_symmetry_Int_Tables_number 167
_symmetry_space_group_name_Hall '-R 3 2"c'
_cell_length_a 9.4402
_cell_length_b 9.4402
_cell_length_c 22.3059
_cell_angle_alpha 90.00
_cell_angle_beta 90.00
_cell_angle_gamma 120.00
loop_
_atom_site_label
_atom_site_type_symbol
_atom_site_fract_x
_atom_site_fract_y
_atom_site_fract_z
Na1 Na 0.0000 0.0000 0.0000
Na2 Na 0.0000 0.3777 0.2500
Hf1 Hf 0.0000 0.0000 0.1436
Ge1 Ge 0.0000 0.2939 0.7500
O1 O 0.0177 0.1963 0.6862
O2 O 0.0195 0.1778 0.4183
```


First-principles (PBEsol) data for crystalline NaHfGe2O at its relaxed geometry, as listed in the Alexandria database.

E_form (uncorrected): 1.092 eV/atom
Electronic total energy: -4.31 eV per atom

Cell and atoms, written as CIF:
```
data_NaHfGe2O
_chemical_formula_sum 'Na1 Hf1 Ge2 O1'
_symmetry_space_group_name_H-M 'P 4/m m m'
_symmetry_Int_Tables_number 123
_symmetry_space_group_name_Hall '-P 4 2'
_cell_length_a 4.986
_cell_length_b 4.986
_cell_length_c 7.190
_cell_angle_alpha 90.00
_cell_angle_beta 90.00
_cell_angle_gamma 90.00
loop_
_atom_site_label
_atom_site_type_symbol
_atom_site_fract_x
_atom_site_fract_y
_atom_site_fract_z
Na1 Na 0.000 0.000 0.000
Hf1 Hf 0.000 0.000 0.500
Ge1 Ge 0.000 0.500 0.500
O1 O 0.500 0.500 0.000
```


First-principles (PBEsol) data for crystalline HfNb2Ge2 at its relaxed geometry, as listed in the Alexandria database.

E_form: -60.3 kJ per mole of atoms
Electronic total energy: -9.03 eV per atom

Cell and atoms, written as CIF:
```
data_HfNb2Ge2
_chemical_formula_sum 'Hf2 Nb4 Ge4'
_symmetry_space_group_name_H-M 'P 4/m b m'
_symmetry_Int_Tables_number 127
_symmetry_space_group_name_Hall '-P 4 2ab'
_cell_length_a 6.942
_cell_length_b 6.942
_cell_length_c 3.518
_cell_angle_alpha 90.00
_cell_angle_beta 90.00
_cell_angle_gamma 90.00
loop_
_atom_site_label
_atom_site_type_symbol
_atom_site_fract_x
_atom_site_fract_y
_atom_site_fract_z
Hf1 Hf 0.000 0.000 0.000
Nb1 Nb 0.168 0.332 0.500
Ge1 Ge 0.131 0.631 0.000
```


First-principles (PBEsol) data for crystalline Hf4NbGe4 at its relaxed geometry, as listed in the Alexandria database.

E_form: -75.8 kJ per mole of atoms
Electronic total energy: -8.85 eV per atom

Cell and atoms, written as CIF:
```
data_Hf4NbGe4
_chemical_formula_sum 'Hf16 Nb4 Ge16'
_symmetry_space_group_name_H-M 'P n m a'
_symmetry_Int_Tables_number 62
_cell_length_a 6.853
_cell_length_b 13.328
_cell_length_c 6.981
_cell_angle_alpha 90.00
_cell_angle_beta 90.00
_cell_angle_gamma 90.00
loop_
_symmetry_equiv_pos_as_xyz
'x,y,z'
'-x,-y,-z'
'-x+1/2,-y,z+1/2'
'x+1/2,y,-z+1/2'
'x+1/2,-y+1/2,-z+1/2'
'-x+1/2,y+1/2,z+1/2'
'-x,y+1/2,-z'
'x,-y+1/2,z'
loop_
_atom_site_label
_atom_site_type_symbol
_atom_site_fract_x
_atom_site_fract_y
_atom_site_fract_z
Hf1 Hf 0.012 0.095 0.176
Hf2 Hf 0.154 0.625 0.331
Nb1 Nb 0.172 0.250 0.503
Ge1 Ge 0.044 0.250 0.892
Ge2 Ge 0.188 0.750 0.649
Ge3 Ge 0.189 0.040 0.533
```


First-principles (PBEsol) data for crystalline Hf2Nb3Ge4 at its relaxed geometry, as listed in the Alexandria database.

E_form: -68.5 kJ per mole of atoms
Electronic total energy: -8.85 eV per atom

Cell and atoms, written as CIF:
```
data_Hf2Nb3Ge4
_chemical_formula_sum 'Hf8 Nb12 Ge16'
_symmetry_space_group_name_H-M 'P n m a'
_symmetry_Int_Tables_number 62
_cell_length_a 6.760
_cell_length_b 13.127
_cell_length_c 6.899
_cell_angle_alpha 90.00
_cell_angle_beta 90.00
_cell_angle_gamma 90.00
loop_
_symmetry_equiv_pos_as_xyz
'x,y,z'
'-x,-y,-z'
'-x+1/2,-y,z+1/2'
'x+1/2,y,-z+1/2'
'x+1/2,-y+1/2,-z+1/2'
'-x+1/2,y+1/2,z+1/2'
'-x,y+1/2,-z'
'x,-y+1/2,z'
loop_
_atom_site_label
_atom_site_type_symbol
_atom_site_fract_x
_atom_site_fract_y
_atom_site_fract_z
Hf1 Hf 0.012 0.091 0.175
Nb1 Nb 0.159 0.624 0.334
Nb2 Nb 0.165 0.250 0.507
Ge1 Ge 0.039 0.250 0.889
Ge2 Ge 0.183 0.040 0.538
Ge3 Ge 0.192 0.750 0.652
```


First-principles (PBEsol) data for crystalline Hf2NbGe2 at its relaxed geometry, as listed in the Alexandria database.

E_form: -72.8 kJ per mole of atoms
Electronic total energy: -9.10 eV per atom

Cell and atoms, written as CIF:
```
data_Hf2NbGe2
_chemical_formula_sum 'Hf4 Nb2 Ge4'
_symmetry_space_group_name_H-M 'P 4/m b m'
_symmetry_Int_Tables_number 127
_symmetry_space_group_name_Hall '-P 4 2ab'
_cell_length_a 6.891
_cell_length_b 6.891
_cell_length_c 3.705
_cell_angle_alpha 90.00
_cell_angle_beta 90.00
_cell_angle_gamma 90.00
loop_
_atom_site_label
_atom_site_type_symbol
_atom_site_fract_x
_atom_site_fract_y
_atom_site_fract_z
Hf1 Hf 0.173 0.327 0.000
Nb1 Nb 0.000 0.000 0.500
Ge1 Ge 0.130 0.630 0.500
```


First-principles (PBEsol) data for crystalline HfNiGe3 at its relaxed geometry, as listed in the Alexandria database.

E_form: 103.9 kJ per mole of atoms
Electronic total energy: -5.22 eV per atom

Cell and atoms, written as CIF:
```
data_HfNiGe3
_chemical_formula_sum 'Hf1 Ni1 Ge3'
_symmetry_space_group_name_H-M 'P m -3 m'
_symmetry_Int_Tables_number 221
_symmetry_space_group_name_Hall '-P 4 2 3'
_cell_length_a 5.015
_cell_length_b 5.015
_cell_length_c 5.015
_cell_angle_alpha 90.00
_cell_angle_beta 90.00
_cell_angle_gamma 90.00
loop_
_atom_site_label
_atom_site_type_symbol
_atom_site_fract_x
_atom_site_fract_y
_atom_site_fract_z
Hf1 Hf 0.000 0.000 0.000
Ni1 Ni 0.500 0.500 0.500
Ge1 Ge 0.000 0.000 0.500
```